a:
Material: AlVF3
Method: DFT, GGA+U
State: relaxed

Geometry as CIF:
```
data_AlVF3
_chemical_formula_sum 'Al1 V1 F3'
_cell_length_a 4.034
_cell_length_b 4.034
_cell_length_c 4.034
_cell_angle_alpha 90.00
_cell_angle_beta 90.00
_cell_angle_gamma 90.00
_symmetry_space_group_name_H-M 'P m -3 m'
_symmetry_Int_Tables_number 221
_symmetry_space_group_name_Hall '-P 4 2 3'
loop_
_atom_site_label
_atom_site_fract_x
_atom_site_fract_y
_atom_site_fract_z
Al1 0.000 0.000 0.000
V1 0.500 0.500 0.500
F1 0.000 0.000 0.500
```

Summary:
Density, Mg/m³: 3.41

b:
Material: AlVF3
Method: DFT, GGA+U
State: relaxed

Geometry as CIF:
```
data_AlVF3
_chemical_formula_sum 'Al1 V1 F3'
_cell_length_a 4.215
_cell_length_b 4.215
_cell_length_c 4.215
_cell_angle_alpha 90.00
_cell_angle_beta 90.00
_cell_angle_gamma 90.00
_symmetry_space_group_name_H-M 'P m -3 m'
_symmetry_Int_Tables_number 221
_symmetry_space_group_name_Hall '-P 4 2 3'
loop_
_atom_site_label
_atom_site_fract_x
_atom_site_fract_y
_atom_site_fract_z
Al1 0.000 0.000 0.000
V1 0.500 0.500 0.500
F1 0.000 0.500 0.500
```

Summary:
Density, Mg/m³: 2.99

Which of them is the most stable? Correct choice: b.

a:
Material: Al3VF
Method: DFT, GGA+U
State: relaxed

Geometry as CIF:
```
data_Al3VF
_chemical_formula_sum 'Al3 V1 F1'
_cell_length_a 4.317
_cell_length_b 4.317
_cell_length_c 4.317
_cell_angle_alpha 90.00
_cell_angle_beta 90.00
_cell_angle_gamma 90.00
_symmetry_space_group_name_H-M 'P m -3 m'
_symmetry_Int_Tables_number 221
_symmetry_space_group_name_Hall '-P 4 2 3'
loop_
_atom_site_label
_atom_site_fract_x
_atom_site_fract_y
_atom_site_fract_z
Al1 0.000 0.000 0.500
V1 0.500 0.500 0.500
F1 0.000 0.000 0.000
```

Summary:
Density, Mg/m³: 3.11

b:
Material: Al3VF
Method: DFT, GGA+U
State: relaxed

Geometry as CIF:
```
data_Al3VF
_chemical_formula_sum 'Al3 V1 F1'
_cell_length_a 5.004
_cell_length_b 5.004
_cell_length_c 5.004
_cell_angle_alpha 90.00
_cell_angle_beta 90.00
_cell_angle_gamma 90.00
_symmetry_space_group_name_H-M 'P m -3 m'
_symmetry_Int_Tables_number 221
_symmetry_space_group_name_Hall '-P 4 2 3'
loop_
_atom_site_label
_atom_site_fract_x
_atom_site_fract_y
_atom_site_fract_z
Al1 0.000 0.000 0.500
V1 0.000 0.000 0.000
F1 0.500 0.500 0.500
```

Summary:
Density, Mg/m³: 2.00

Which of them is the most stable? Correct choice: a.